LiCdBiIr: optimized geometry, PBE.

Cell: 6.706 6.706 6.706 Å, 90.00 90.00 90.00°
Space group F-43m (No. 216)
Inequivalent atoms, fractional coordinates:
Li  0.000  0.000  0.000 [4 per cell]
Cd  0.250  0.250  0.750 [4 per cell]
Bi  0.250  0.250  0.250 [4 per cell]
Ir  0.000  0.000  0.500 [4 per cell]

Properties
Formation energy = -0.09 eV per atom

TbSc2Pb: optimized geometry, PBE.

Cell: 3.583 3.583 8.235 Å, 90.00 90.00 90.00°
Space group P4/mmm (No. 123)
Inequivalent atoms, fractional coordinates:
Tb  0.000  0.000  0.000 [1 per cell]
Sc  0.500  0.500  0.268 [2 per cell]
Pb  0.000  0.000  0.500 [1 per cell]

Properties
Formation energy = -0.15 eV per atom

NaLiTlO2: optimized geometry, PBE.

Cell: 6.766 12.609 5.755 Å, 90.00 90.00 90.00°
Space group Cmme (No. 67)
Inequivalent atoms, fractional coordinates:
Na  0.000  0.250  0.237 [4 per cell]
Li  0.000  0.000  0.500 [4 per cell]
Tl  0.250  0.000  0.000 [4 per cell]
O  0.000  0.076  0.227 [8 per cell]

Properties
Electronic total energy = -0.3010 Ry/atom

BePtI2N: optimized geometry, PBE.

Cell: 5.556 5.556 3.080 Å, 90.00 90.00 90.00°
Space group P4/mmm (No. 123)
Inequivalent atoms, fractional coordinates:
Be  0.000  0.000  0.000 [1 per cell]
Pt  0.500  0.500  0.500 [1 per cell]
I  0.000  0.500  0.000 [2 per cell]
N  0.000  0.000  0.500 [1 per cell]

Properties
Electronic total energy = -0.2604 Ry/atom

Sr4AsN2: optimized geometry, PBE.

Cell: 9.005 9.005 8.978 Å, 90.00 90.00 90.00°
Space group I4_1/amd (No. 141, origin choice 2)
Inequivalent atoms, fractional coordinates:
Sr  0.000  0.069  0.222 [16 per cell]
As  0.000  0.250  0.875 [4 per cell]
N  0.000  0.000  0.500 [8 per cell]

Properties
Electronic total energy = -0.3386 Ry/atom

CuTeOs2Ru: optimized geometry, PBE.

Cell: 4.810 4.810 4.592 Å, 90.00 90.00 90.00°
Space group P4/mmm (No. 123)
Inequivalent atoms, fractional coordinates:
Cu  0.000  0.000  0.000 [1 per cell]
Te  0.000  0.000  0.500 [1 per cell]
Os  0.000  0.500  0.500 [2 per cell]
Ru  0.500  0.500  0.000 [1 per cell]

Properties
Electronic total energy = -0.4028 Ry/atom

HfU5S6: optimized geometry, PBE.

Cell: 6.650 11.496 6.584 Å, 90.00 109.67 90.00°
Space group C2/m (No. 12)
Inequivalent atoms, fractional coordinates:
Hf  0.000  0.000  0.000 [2 per cell]
U  0.000  0.171  0.500 [4 per cell]
U  0.000  0.335  0.000 [4 per cell]
U  0.000  0.500  0.500 [2 per cell]
S  0.238  0.000  0.752 [4 per cell]
S  0.241  0.162  0.240 [8 per cell]

Properties
Electronic total energy = -0.6588 Ry/atom

SrAgRu2: optimized geometry, PBE.

Cell: 2.950 3.655 7.417 Å, 90.00 90.10 90.00°
Space group Pm (No. 6)
Inequivalent atoms, fractional coordinates:
Sr  0.000  0.000  0.000 [1 per cell]
Ag  0.499  0.500  0.314 [1 per cell]
Ru  0.000  0.000  0.553 [1 per cell]
Ru  0.501  0.500  0.693 [1 per cell]

Properties
Formation energy = 0.37 eV per atom